#one
KTlPb2: PBEsol geometry, meta-GGA SCAN.

Calculated values
The density of states at the Fermi level is 1.626 states/eV per cell. Its space-group type is C2/m, No. 12.

abc: 3.4581 5.8100 6.7214
angles: 96.26 90.00 107.31
Atoms (fractional coordinates):
Pb 0.7473 0.4946 0.7016
Pb 0.2527 0.5054 0.2984
Tl 0.0000 0.0000 0.5000
K 0.5000 0.0000 0.0000



#two
KTlPb2: PBEsol geometry, meta-GGA SCAN.

Calculated values
The density of states at the Fermi level is 2.188 states/eV per cell. Its space-group type is P4mm, No. 99.

abc: 4.0471 4.0471 7.9499
angles: 90.00 90.00 90.00
Atoms (fractional coordinates):
Pb 0.0000 0.0000 0.0477
Pb 0.5000 0.5000 0.2467
Tl 0.0000 0.0000 0.4596
K 0.5000 0.5000 0.7460



#three
KTlPb2: PBEsol geometry, meta-GGA SCAN.

Calculated values
The density of states at the Fermi level is 1.740 states/eV per cell. Its space-group type is Pmmm, No. 47.

abc: 3.7531 4.4164 7.7024
angles: 90.00 90.00 90.00
Atoms (fractional coordinates):
Pb 0.0000 0.0000 0.7990
Pb 0.0000 0.0000 0.2010
Tl 0.5000 0.5000 0.0000
K 0.5000 0.5000 0.5000



How far above the most stable structure does each one sit? In meV per atom: #one 50; #two 0; #three 37.